No. 1
DFT (GGA-PBEsol) results for a geometry-optimized Li3Mn2Si2O8 structure.

Lattice parameters (Å, degrees): 4.948 6.258 10.575 90.00 90.00 90.42
Fractional positions:
Li 0.429 0.761 0.087
Li 0.571 0.239 0.587
Li 0.078 0.241 0.918
Li 0.936 0.257 0.411
Li 0.922 0.759 0.418
Li 0.064 0.743 0.911
Mn 0.560 0.482 0.846
Mn 0.440 0.518 0.346
Mn 0.077 0.980 0.654
Mn 0.923 0.020 0.154
Si 0.917 0.515 0.170
Si 0.083 0.485 0.670
Si 0.421 0.012 0.328
Si 0.579 0.988 0.828
O 0.004 0.699 0.591
O 0.028 0.730 0.094
O 0.587 0.533 0.181
O 0.964 0.490 0.816
O 0.036 0.510 0.316
O 0.413 0.467 0.681
O 0.996 0.301 0.091
O 0.972 0.270 0.594
O 0.470 0.203 0.901
O 0.531 0.229 0.402
O 0.534 0.007 0.182
O 0.088 0.011 0.331
O 0.466 0.993 0.682
O 0.912 0.989 0.831
O 0.530 0.797 0.401
O 0.469 0.771 0.902

Output
Symmetry: P2_1
Polymorph energy (0 for the lowest one), eV/f.u.: 0.15
ΔE_f (raw), eV/atom: -2.168
Spin magnetization, Bohr magnetons per cell: 18.00



No. 2
DFT (GGA-PBEsol) results for a geometry-optimized Li2MnSi4O11 structure.

Lattice parameters (Å, degrees): 7.691 8.217 8.217 77.35 62.10 62.10
Fractional positions:
Li 0.615 0.723 0.048
Li 0.663 0.952 0.723
Li 0.337 0.048 0.277
Li 0.385 0.277 0.952
Mn 0.756 0.000 0.000
Mn 0.244 0.000 0.000
Si 0.784 0.722 0.325
Si 0.170 0.722 0.325
Si 0.506 0.325 0.278
Si 0.892 0.325 0.278
Si 0.494 0.675 0.722
Si 0.108 0.675 0.722
Si 0.216 0.278 0.675
Si 0.830 0.278 0.675
O 0.000 0.000 0.000
O 0.500 0.000 0.000
O 0.649 0.912 0.246
O 0.194 0.912 0.246
O 0.039 0.673 0.250
O 0.774 0.550 0.265
O 0.411 0.550 0.265
O 0.676 0.735 0.550
O 0.039 0.735 0.550
O 0.560 0.246 0.088
O 0.106 0.246 0.088
O 0.289 0.750 0.673
O 0.711 0.250 0.327
O 0.440 0.754 0.912
O 0.894 0.754 0.912
O 0.961 0.265 0.450
O 0.324 0.265 0.450
O 0.589 0.450 0.735
O 0.226 0.450 0.735
O 0.961 0.327 0.750
O 0.806 0.088 0.754
O 0.351 0.088 0.754

Output
Symmetry: I4/m
ΔE_f (raw), eV/atom: -2.465
Spin magnetization, Bohr magnetons per cell: 6.00



No. 3
DFT (GGA-PBEsol) results for a geometry-optimized Li3Mn2Si2O8 structure.

Lattice parameters (Å, degrees): 5.127 5.127 6.503 88.73 88.73 86.15
Fractional positions:
Li 0.807 0.812 0.746
Li 0.695 0.305 0.500
Li 0.188 0.193 0.254
Mn 0.830 0.808 0.233
Mn 0.192 0.170 0.767
Si 0.326 0.674 0.500
Si 0.663 0.337 0.000
O 0.189 0.814 0.298
O 0.186 0.811 0.702
O 0.645 0.704 0.491
O 0.712 0.648 0.996
O 0.296 0.355 0.509
O 0.352 0.288 0.004
O 0.797 0.201 0.210
O 0.799 0.203 0.790

Output
Symmetry: C2
Polymorph energy (0 for the lowest one), eV/f.u.: 0.18
ΔE_f (raw), eV/atom: -2.166
Spin magnetization, Bohr magnetons per cell: 9.00



No. 4
DFT (GGA-PBEsol) results for a geometry-optimized Li2MnSi2O6 structure.

Lattice parameters (Å, degrees): 5.624 5.624 9.268 90.72 90.72 118.05
Fractional positions:
Li 0.723 0.403 0.381
Li 0.403 0.723 0.881
Li 0.597 0.277 0.119
Li 0.277 0.597 0.619
Mn 0.253 0.747 0.250
Mn 0.747 0.253 0.750
Si 0.798 0.864 0.133
Si 0.864 0.798 0.633
Si 0.136 0.202 0.367
Si 0.202 0.136 0.867
O 0.853 0.631 0.205
O 0.631 0.853 0.705
O 0.488 0.764 0.084
O 0.764 0.488 0.584
O 0.880 0.120 0.250
O 0.000 0.000 0.000
O 0.120 0.880 0.750
O 0.000 0.000 0.500
O 0.236 0.512 0.416
O 0.512 0.236 0.916
O 0.369 0.147 0.295
O 0.147 0.369 0.795

Output
Symmetry: C2/c
ΔE_f (raw), eV/atom: -2.347
Spin magnetization, Bohr magnetons per cell: 10.00



No. 5
DFT (GGA-PBEsol) results for a geometry-optimized Li3Mn2Si2O8 structure.

Lattice parameters (Å, degrees): 6.604 7.066 7.161 98.15 91.51 90.16
Fractional positions:
Si 0.763 0.686 0.341
Si 0.745 0.158 0.842
Si 0.238 0.083 0.405
Si 0.250 0.594 0.920
Mn 0.999 0.876 0.050
Mn 0.488 0.349 0.176
Mn 0.961 0.429 0.606
Mn 0.522 0.799 0.633
O 0.966 0.048 0.855
O 0.962 0.550 0.362
O 0.765 0.856 0.524
O 0.733 0.298 0.043
O 0.732 0.280 0.667
O 0.753 0.769 0.142
O 0.548 0.006 0.833
O 0.543 0.581 0.389
O 0.444 0.123 0.296
O 0.421 0.606 0.764
O 0.211 0.267 0.573
O 0.270 0.768 0.099
O 0.254 0.892 0.513
O 0.246 0.390 0.004
O 0.043 0.072 0.252
O 0.027 0.652 0.830
Li 0.015 0.851 0.653
Li 0.993 0.321 0.157
Li 0.489 0.383 0.586
Li 0.521 0.921 0.097
Li 0.237 0.159 0.812
Li 0.236 0.667 0.334

Output
Symmetry: P1
Polymorph energy (0 for the lowest one), eV/f.u.: 0.00
ΔE_f (raw), eV/atom: -2.178
Spin magnetization, Bohr magnetons per cell: 18.00



No. 6
DFT (GGA-PBEsol) results for a geometry-optimized Li9Mn5Si2O16 structure.

Lattice parameters (Å, degrees): 4.974 5.284 10.727 87.96 80.03 85.50
Fractional positions:
Li 0.589 0.730 0.942
Li 0.670 0.280 0.814
Li 0.817 0.751 0.690
Li 0.936 0.247 0.564
Li 0.064 0.753 0.436
Li 0.183 0.249 0.310
Li 0.330 0.720 0.186
Li 0.411 0.270 0.058
Li 0.000 0.000 0.000
Mn 0.246 0.001 0.757
Mn 0.371 0.502 0.627
Mn 0.500 0.000 0.500
Mn 0.629 0.498 0.373
Mn 0.754 0.999 0.243
Si 0.122 0.502 0.878
Si 0.878 0.498 0.122
O 0.960 0.815 0.848
O 0.299 0.188 0.897
O 0.583 0.107 0.657
O 0.439 0.607 0.789
O 0.042 0.397 0.731
O 0.708 0.603 0.530
O 0.169 0.894 0.597
O 0.292 0.397 0.470
O 0.831 0.106 0.403
O 0.958 0.603 0.269
O 0.417 0.893 0.343
O 0.701 0.812 0.103
O 0.040 0.185 0.152
O 0.561 0.393 0.211
O 0.808 0.403 0.972
O 0.192 0.597 0.028

Output
Symmetry: P-1
ΔE_f (raw), eV/atom: -2.050
Spin magnetization, Bohr magnetons per cell: 20.01



What did the sixth record say?
DFT (GGA-PBEsol) results for a geometry-optimized Li9Mn5Si2O16 structure.

Lattice parameters (Å, degrees): 4.974 5.284 10.727 87.96 80.03 85.50
Fractional positions:
Li 0.589 0.730 0.942
Li 0.670 0.280 0.814
Li 0.817 0.751 0.690
Li 0.936 0.247 0.564
Li 0.064 0.753 0.436
Li 0.183 0.249 0.310
Li 0.330 0.720 0.186
Li 0.411 0.270 0.058
Li 0.000 0.000 0.000
Mn 0.246 0.001 0.757
Mn 0.371 0.502 0.627
Mn 0.500 0.000 0.500
Mn 0.629 0.498 0.373
Mn 0.754 0.999 0.243
Si 0.122 0.502 0.878
Si 0.878 0.498 0.122
O 0.960 0.815 0.848
O 0.299 0.188 0.897
O 0.583 0.107 0.657
O 0.439 0.607 0.789
O 0.042 0.397 0.731
O 0.708 0.603 0.530
O 0.169 0.894 0.597
O 0.292 0.397 0.470
O 0.831 0.106 0.403
O 0.958 0.603 0.269
O 0.417 0.893 0.343
O 0.701 0.812 0.103
O 0.040 0.185 0.152
O 0.561 0.393 0.211
O 0.808 0.403 0.972
O 0.192 0.597 0.028

Output
Symmetry: P-1
ΔE_f (raw), eV/atom: -2.050
Spin magnetization, Bohr magnetons per cell: 20.01